(1)
The following is a GGA-PBE calculation of crystalline Pm3Bi2H2 at its relaxed geometry, from Alexandria via LeMat-Bulk.

Total moment, μB per formula unit: 0.54
Electronic total energy, eV per atom: -4.79

a = 6.6501 Å, b = 6.2879 Å, c = 8.3717 Å
α = 90.00°, β = 110.95°, γ = 90.00°
Fractional coordinates of all 14 atoms:
Pm 0.0000 0.0000 0.0000
Pm 0.0000 0.5000 0.5000
Pm 0.3698 0.1295 0.7891
Pm 0.3698 0.3705 0.2891
Pm 0.6302 0.6295 0.7109
Pm 0.6302 0.8705 0.2109
Bi 0.2177 0.5982 0.8974
Bi 0.2177 0.9018 0.3974
Bi 0.7823 0.0982 0.6026
Bi 0.7823 0.4018 0.1026
H 0.3552 0.1091 0.0690
H 0.3552 0.3909 0.5690
H 0.6448 0.6091 0.4310
H 0.6448 0.8909 0.9310

(2)
The following is a GGA-PBE calculation of crystalline Sr2BSbPd6 at its relaxed geometry, from Alexandria via LeMat-Bulk.

Total moment, μB per formula unit: 0.00
ΔE_f (raw), eV/f.u.: -5.05

a = 6.6688 Å, b = 6.6688 Å, c = 6.6688 Å
α = 60.00°, β = 60.00°, γ = 60.00°
Fractional coordinates of all 10 atoms:
Sr 0.2500 0.2500 0.2500
Sr 0.7500 0.7500 0.7500
B 0.0000 0.0000 0.0000
Sb 0.5000 0.5000 0.5000
Pd 0.2219 0.2219 0.7781
Pd 0.2219 0.7781 0.2219
Pd 0.2219 0.7781 0.7781
Pd 0.7781 0.2219 0.2219
Pd 0.7781 0.2219 0.7781
Pd 0.7781 0.7781 0.2219

(3)
The following is a GGA-PBE calculation of crystalline Ca3Mg3Cu at its relaxed geometry, from Alexandria via LeMat-Bulk.

Total moment, μB per formula unit: 0.00
Excess energy over the best structure of this formula in the dataset, eV per atom: 0.000

a = 10.0721 Å, b = 10.0721 Å, c = 4.5918 Å
α = 90.00°, β = 90.00°, γ = 120.00°
Fractional coordinates of all 14 atoms:
Ca 0.1651 0.3301 0.2500
Ca 0.1651 0.8349 0.2500
Ca 0.3301 0.1651 0.7500
Ca 0.6699 0.8349 0.2500
Ca 0.8349 0.1651 0.7500
Ca 0.8349 0.6699 0.7500
Mg 0.1290 0.5645 0.7500
Mg 0.4355 0.5645 0.7500
Mg 0.4355 0.8710 0.7500
Mg 0.5645 0.1290 0.2500
Mg 0.5645 0.4355 0.2500
Mg 0.8710 0.4355 0.2500
Cu 0.3333 0.6667 0.2500
Cu 0.6667 0.3333 0.7500